{
  "formula": "Sc3TlO",
  "functional": "PBE",
  "state": "optimized geometry",
  "lattice_angstrom": [[-8.521, 0.489, -1.381], [1.847, -5.724, 0.428], [-0.531, 1.722, 3.886]],
  "species": ["Tl", "Sc", "Sc", "Tl", "Sc", "Sc", "O", "O", "Sc", "Sc"],
  "frac_coords": [[0.248, 0.190, 0.522], [0.483, 0.158, 0.006], [0.105, 0.662, 0.758], [0.718, 0.126, 0.490], [0.614, 0.661, 0.758], [0.861, 0.655, 0.254], [0.885, 0.754, 0.804], [0.080, 0.563, 0.208], [0.352, 0.655, 0.254], [0.983, 0.158, 0.006]],
  "space_group": "C2/m (12)",
  "magnetic_moment_mub_per_cell": 0.00,
  "formation_energy_uncorrected_mev_per_atom": -1339
}